No. 1
{"formula": "LiBi2N", "functional": "PBE", "state": "relaxed", "density_kg_m3": 8121, "total_energy_ha_per_atom": -0.150, "formation_energy_uncorrected_kj_per_mol_atoms": 40.1, "lattice_angstrom": [[-3.666, 3.666, 3.338], [3.666, -3.666, 3.338], [3.666, 3.666, -3.338]], "species": ["Li", "Li", "Bi", "Bi", "Bi", "Bi", "N", "N"], "frac_coords": [[0.000, 0.000, 0.000], [0.750, 0.250, 0.500], [0.199, 0.125, 0.574], [0.375, 0.801, 0.926], [0.551, 0.625, 0.426], [0.875, 0.449, 0.074], [0.250, 0.750, 0.500], [0.500, 0.500, 0.000]]}

=====

No. 2
{"formula": "Li2BiN", "functional": "PBE", "state": "relaxed", "density_kg_m3": 5579, "e_above_lowest_polymorph_kj_per_mol_fu": 0, "total_energy_ha_per_atom": -0.138, "formation_energy_uncorrected_kj_per_mol_atoms": 23.9, "lattice_angstrom": [[0.000, 4.131, 4.131], [4.131, 0.000, 4.131], [4.131, 4.131, 0.000]], "species": ["Li", "Li", "Li", "Li", "Bi", "Bi", "N", "N"], "frac_coords": [[0.000, 0.000, 0.000], [0.000, 0.000, 0.500], [0.000, 0.500, 0.000], [0.500, 0.000, 0.000], [0.375, 0.375, 0.375], [0.625, 0.625, 0.625], [0.125, 0.125, 0.125], [0.875, 0.875, 0.875]]}

=====

No. 3
{"formula": "Li8Bi2N", "functional": "PBE", "state": "relaxed", "density_kg_m3": 4304, "total_energy_ha_per_atom": -0.119, "formation_energy_uncorrected_kj_per_mol_atoms": -37.0, "lattice_angstrom": [[7.734, -2.221, 0.000], [7.734, 2.221, 0.000], [-1.844, 0.000, 5.476]], "species": ["Li", "Li", "Li", "Li", "Li", "Li", "Li", "Li", "Bi", "Bi", "N"], "frac_coords": [[0.006, 0.006, 0.207], [0.218, 0.218, 0.166], [0.390, 0.390, 0.706], [0.414, 0.414, 0.182], [0.586, 0.586, 0.818], [0.610, 0.610, 0.294], [0.782, 0.782, 0.834], [0.994, 0.994, 0.793], [0.166, 0.166, 0.631], [0.834, 0.834, 0.369], [0.500, 0.500, 0.000]]}

=====

No. 4
{"formula": "Li6Bi2N", "functional": "PBE", "state": "relaxed", "density_kg_m3": 4866, "total_energy_ha_per_atom": -0.124, "formation_energy_uncorrected_kj_per_mol_atoms": -30.6, "lattice_angstrom": [[-3.053, 3.056, 4.331], [3.053, -3.056, 4.331], [3.053, 3.056, -4.331]], "species": ["Li", "Li", "Li", "Li", "Li", "Li", "Bi", "Bi", "N"], "frac_coords": [[0.224, 0.224, 0.000], [0.224, 0.225, 0.449], [0.224, 0.775, 0.999], [0.776, 0.225, 0.001], [0.776, 0.775, 0.551], [0.776, 0.776, 0.000], [0.251, 0.751, 0.500], [0.749, 0.249, 0.500], [0.000, 0.000, 0.000]]}

=====

No. 5
{"formula": "Li4BiN", "functional": "PBE", "state": "relaxed", "density_kg_m3": 4118, "total_energy_ha_per_atom": -0.134, "formation_energy_uncorrected_kj_per_mol_atoms": -32.6, "lattice_angstrom": [[7.511, -2.577, 0.000], [7.511, 2.577, 0.000], [-2.097, 0.000, 5.224]], "species": ["Li", "Li", "Li", "Li", "Li", "Li", "Li", "Li", "Bi", "Bi", "N", "N"], "frac_coords": [[0.028, 0.736, 0.630], [0.264, 0.972, 0.870], [0.278, 0.285, 0.784], [0.285, 0.278, 0.284], [0.715, 0.722, 0.716], [0.722, 0.715, 0.216], [0.736, 0.028, 0.130], [0.972, 0.264, 0.370], [0.356, 0.644, 0.250], [0.644, 0.356, 0.750], [0.000, 0.500, 0.500], [0.500, 0.000, 0.000]]}

=====

No. 6
{"formula": "LiNi2BiN", "functional": "PBE", "state": "relaxed", "density_kg_m3": 8865, "total_energy_ha_per_atom": -0.189, "formation_energy_uncorrected_kj_per_mol_atoms": -0.8, "lattice_angstrom": [[3.904, 0.000, 0.000], [0.000, 3.904, 0.000], [0.000, 0.000, 4.269]], "species": ["Li", "Ni", "Ni", "Bi", "N"], "frac_coords": [[0.000, 0.000, 0.000], [0.000, 0.500, 0.500], [0.500, 0.000, 0.500], [0.500, 0.500, 0.000], [0.000, 0.000, 0.500]]}

=====

No. 7
{"formula": "LiBiNO2", "functional": "PBE", "state": "relaxed", "density_kg_m3": 5489, "total_energy_ha_per_atom": -0.176, "formation_energy_uncorrected_kj_per_mol_atoms": 2.4, "lattice_angstrom": [[4.261, 0.000, 0.000], [0.000, 4.261, 0.000], [0.000, 0.000, 4.365]], "species": ["Li", "Bi", "N", "O", "O"], "frac_coords": [[0.000, 0.000, 0.000], [0.500, 0.500, 0.500], [0.500, 0.500, 0.000], [0.000, 0.500, 0.500], [0.500, 0.000, 0.500]]}

=====

No. 8
{"formula": "LiBiNO2", "functional": "PBE", "state": "relaxed", "density_kg_m3": 7739, "total_energy_ha_per_atom": -0.172, "formation_energy_uncorrected_kj_per_mol_atoms": 12.4, "lattice_angstrom": [[3.871, 0.000, 0.000], [0.000, 3.871, 0.000], [0.000, 0.000, 3.751]], "species": ["Li", "Bi", "N", "O", "O"], "frac_coords": [[0.000, 0.000, 0.000], [0.500, 0.500, 0.500], [0.000, 0.000, 0.500], [0.000, 0.500, 0.000], [0.500, 0.000, 0.000]]}